# 1
A plane-wave DFT calculation with PBE was carried out for crystalline Cu7I12Cl at its relaxed geometry.

Structure (CIF):
```
data_Cu7I12Cl
_cell_length_a 14.8664
_cell_length_b 14.8664
_cell_length_c 9.6570
_cell_angle_alpha 90.00
_cell_angle_beta 90.00
_cell_angle_gamma 120.00
_space_group_name_H-M_alt 'R -3'
_space_group_IT_number 148
_space_group_name_Hall '-R 3'
loop_
_atom_site_label
_atom_site_type_symbol
_atom_site_fract_x
_atom_site_fract_y
_atom_site_fract_z
Cu1 Cu 0.0000 0.0000 0.0000
Cu2 Cu 0.0490 0.1774 0.3390
I1 I 0.0401 0.5814 0.1549
I2 I 0.0708 0.1717 0.8292
Cl1 Cl 0.0000 0.0000 0.5000
```

# 2
A plane-wave DFT calculation with PBE was carried out for crystalline Cu2ICl2 at its relaxed geometry.

Summary:
Energy relative to the lowest polymorph listed for this composition, eV per atom: 0.025

Structure (CIF):
```
data_Cu2ICl2
_cell_length_a 8.4004
_cell_length_b 11.4166
_cell_length_c 6.6193
_cell_angle_alpha 90.00
_cell_angle_beta 125.10
_cell_angle_gamma 90.00
_space_group_name_H-M_alt 'C 1 2/c 1'
_space_group_IT_number 15
loop_
_space_group_symop_operation_xyz
'x,y,z'
'-x,-y,-z'
'-x,y,-z+1/2'
'x,-y,z+1/2'
'x+1/2,y+1/2,z'
'-x+1/2,-y+1/2,-z'
'-x+1/2,y+1/2,-z+1/2'
'x+1/2,-y+1/2,z+1/2'
loop_
_atom_site_label
_atom_site_type_symbol
_atom_site_fract_x
_atom_site_fract_y
_atom_site_fract_z
Cu1 Cu 0.2497 0.0589 0.0823
I1 I 0.0000 0.0893 0.2500
Cl1 Cl 0.0000 0.5000 0.0000
Cl2 Cl 0.2500 0.2500 0.0000
```

# 3
A plane-wave DFT calculation with PBE was carried out for crystalline KCuICl2 at its relaxed geometry.

Summary:
Energy relative to the lowest polymorph listed for this composition, eV per atom: 0.000

Structure (CIF):
```
data_KCuICl2
_cell_length_a 4.9256
_cell_length_b 4.9256
_cell_length_c 5.5255
_cell_angle_alpha 90.00
_cell_angle_beta 90.00
_cell_angle_gamma 90.00
_space_group_name_H-M_alt 'P 4/m m m'
_space_group_IT_number 123
_space_group_name_Hall '-P 4 2'
loop_
_atom_site_label
_atom_site_type_symbol
_atom_site_fract_x
_atom_site_fract_y
_atom_site_fract_z
K1 K 0.0000 0.0000 0.0000
Cu1 Cu 0.5000 0.5000 0.5000
I1 I 0.5000 0.5000 0.0000
Cl1 Cl 0.0000 0.5000 0.5000
```

# 4
A plane-wave DFT calculation with PBE was carried out for crystalline K2CuICl2 at its relaxed geometry.

Structure (CIF):
```
data_K2CuICl2
_cell_length_a 13.6741
_cell_length_b 7.4650
_cell_length_c 8.2936
_cell_angle_alpha 90.00
_cell_angle_beta 90.00
_cell_angle_gamma 90.00
_space_group_name_H-M_alt 'C m c 21'
_space_group_IT_number 36
loop_
_space_group_symop_operation_xyz
'x,y,z'
'-x,-y,z+1/2'
'-x,y,z'
'x,-y,z+1/2'
'x+1/2,y+1/2,z'
'-x+1/2,-y+1/2,z+1/2'
'-x+1/2,y+1/2,z'
'x+1/2,-y+1/2,z+1/2'
loop_
_atom_site_label
_atom_site_type_symbol
_atom_site_fract_x
_atom_site_fract_y
_atom_site_fract_z
K1 K 0.1563 0.2450 0.0000
Cu1 Cu 0.0000 0.2852 0.3904
I1 I 0.0000 0.4249 0.6931
Cl1 Cl 0.1469 0.1356 0.3574
```

# 5
A plane-wave DFT calculation with PBE was carried out for crystalline K2CuICl6 at its relaxed geometry.

Structure (CIF):
```
data_K2CuICl6
_cell_length_a 10.4598
_cell_length_b 10.4581
_cell_length_c 7.6790
_cell_angle_alpha 90.00
_cell_angle_beta 132.76
_cell_angle_gamma 90.00
_space_group_name_H-M_alt 'C 1 2/m 1'
_space_group_IT_number 12
loop_
_space_group_symop_operation_xyz
'x,y,z'
'-x,-y,-z'
'-x,y,-z'
'x,-y,z'
'x+1/2,y+1/2,z'
'-x+1/2,-y+1/2,-z'
'-x+1/2,y+1/2,-z'
'x+1/2,-y+1/2,z'
loop_
_atom_site_label
_atom_site_type_symbol
_atom_site_fract_x
_atom_site_fract_y
_atom_site_fract_z
K1 K 0.0000 0.2498 0.0000
Cu1 Cu 0.0000 0.0000 0.5000
I1 I 0.0000 0.5000 0.5000
Cl1 Cl 0.0000 0.2513 0.5000
Cl2 Cl 0.1948 0.0000 0.8905
Cl3 Cl 0.2487 0.5000 0.5001
```

# 6
A plane-wave DFT calculation with PBE was carried out for crystalline K3Cu2I2Cl4 at its relaxed geometry.

Structure (CIF):
```
data_K3Cu2I2Cl4
_cell_length_a 4.8312
_cell_length_b 4.8312
_cell_length_c 27.6209
_cell_angle_alpha 90.00
_cell_angle_beta 90.00
_cell_angle_gamma 90.00
_space_group_name_H-M_alt 'I 4/m m m'
_space_group_IT_number 139
_space_group_name_Hall '-I 4 2'
loop_
_atom_site_label
_atom_site_type_symbol
_atom_site_fract_x
_atom_site_fract_y
_atom_site_fract_z
K1 K 0.0000 0.0000 0.0000
K2 K 0.0000 0.0000 0.1640
Cu1 Cu 0.0000 0.0000 0.4040
I1 I 0.0000 0.0000 0.3062
Cl1 Cl 0.0000 0.5000 0.0775
```

| no. | formation energy (no corrections) (eV/atom) | V (Å³ per atom) |
| --- | --- | --- |
| 1 | -0.06 | 30.81 |
| 2 | -0.28 | 25.97 |
| 3 | -0.88 | 26.81 |
| 4 | -1.27 | 35.27 |
| 5 | -0.95 | 30.83 |
| 6 | -1.13 | 29.30 |